1.
Material: Rb2DyAg2Cl6
Method: DFT, PBE
State: optimized geometry

Unit cell a=12.8645 b=7.8381 c=8.5145 alpha=90.00 beta=120.58 gamma=90.00
Space group C2/m (No. 12)
Asymmetric unit:
Rb (0.2125, 0.0000, 0.1592) x4
Dy (0.0000, 0.0000, 0.5000) x2
Ag (0.0543, 0.5000, 0.1850) x4
Cl (0.0657, 0.2317, 0.7626) x8
Cl (0.2207, 0.0000, 0.5499) x4

Output
E: -3.6063 eV per atom

2.
Material: Rb3DyAg2Cl9
Method: DFT, PBE
State: optimized geometry

Unit cell a=7.4728 b=7.4728 c=9.2709 alpha=90.00 beta=90.00 gamma=120.00
Space group P-3m1 (No. 164)
Asymmetric unit:
Rb (0.0000, 0.0000, 0.0000) x1
Rb (0.3333, 0.6667, 0.6936) x2
Dy (0.0000, 0.0000, 0.5000) x1
Ag (0.3333, 0.6667, 0.1551) x2
Cl (0.0000, 0.5000, 0.0000) x3
Cl (0.1655, 0.3309, 0.3354) x6

Output
E: -3.5349 eV per atom

3.
Material: RbDyAg2Cl8
Method: DFT, PBE
State: optimized geometry

Unit cell a=6.7489 b=6.7489 c=14.8876 alpha=90.00 beta=90.00 gamma=90.00
Space group I-4 (No. 82)
Asymmetric unit:
Rb (0.0000, 0.0000, 0.0000) x2
Dy (0.0000, 0.5000, 0.7500) x2
Ag (0.0000, 0.0000, 0.5000) x2
Ag (0.0000, 0.5000, 0.2500) x2
Cl (0.1279, 0.2883, 0.5952) x8
Cl (0.1759, 0.7941, 0.1919) x8

Output
E: -3.3298 eV per atom

4.
Material: SrDyAgCl6
Method: DFT, PBE
State: optimized geometry

Unit cell a=6.9120 b=6.9120 c=12.8794 alpha=90.00 beta=90.00 gamma=120.00
Space group P-31c (No. 163)
Asymmetric unit:
Sr (0.0000, 0.0000, 0.0000) x2
Dy (0.3333, 0.6667, 0.2500) x2
Ag (0.3333, 0.6667, 0.7500) x2
Cl (0.0160, 0.3554, 0.1312) x12

Output
E: -4.1751 eV per atom